Density functional theory data (meta-GGA SCAN) for Si3Mo5 at its PBEsol-relaxed geometry.

Raw total energy, eV per atom: -25.83
Formation energy (no corrections), eV/atom: -0.2736

Structure (POSCAR):
```
Si3Mo5
1.0
-4.3802 -0.0496 2.4396
0.7291 -7.1012 1.1648
2.6177 4.7390 4.7963
Si Mo
6 10
direct
0.7500 0.3948 0.0000
0.2500 0.0000 0.6052
0.2500 0.6052 0.0000
0.2500 0.3948 0.3948
0.7500 0.6052 0.6052
0.7500 0.0000 0.3948
0.5000 0.6667 0.3333
0.7500 0.7602 0.0000
0.0000 0.6667 0.3333
0.5000 0.3333 0.6667
0.7500 0.2398 0.2398
0.2500 0.0000 0.2398
0.2500 0.2398 0.0000
0.0000 0.3333 0.6667
0.2500 0.7602 0.7602
0.7500 0.0000 0.7602
```



Density functional theory data (meta-GGA SCAN) for Si2Mo at its PBEsol-relaxed geometry.

Raw total energy, eV per atom: -18.10
Formation energy (no corrections), eV/atom: 0.2098

Structure (POSCAR):
```
Si2Mo
1.0
2.6427 0.0000 0.0000
1.3214 4.2346 0.1283
1.3214 1.6767 3.8907
Mo Si
1 2
direct
0.0000 0.0000 0.0000
0.8164 0.6836 0.6836
0.1836 0.3164 0.3164
```



Density functional theory data (meta-GGA SCAN) for Si2Mo at its PBEsol-relaxed geometry.

Raw total energy, eV per atom: -18.74
Formation energy (no corrections), eV/atom: -0.4310

Structure (POSCAR):
```
Si2Mo
1.0
4.5726 0.0000 0.0000
-2.2863 3.9599 0.0000
0.0000 0.0000 6.5651
Mo Si
3 6
direct
0.5000 0.0000 0.1667
0.5000 0.5000 0.5000
0.0000 0.5000 0.8333
0.1642 0.3283 0.1667
0.3283 0.1642 0.8333
0.8358 0.1642 0.5000
0.8358 0.6717 0.1667
0.6717 0.8358 0.8333
0.1642 0.8358 0.5000
```



Density functional theory data (meta-GGA SCAN) for Si3Mo at its PBEsol-relaxed geometry.

Raw total energy, eV per atom: -15.77
Formation energy (no corrections), eV/atom: 0.4681

Structure (POSCAR):
```
Si3Mo
1.0
-0.0360 -1.1154 4.1192
-0.7484 -4.0532 1.1067
3.1543 -2.3952 1.5898
Si Mo
3 1
direct
0.2500 0.2500 0.2500
0.7500 0.7500 0.7500
0.5000 0.5000 0.5000
0.0000 0.0000 0.0000
```



Density functional theory data (meta-GGA SCAN) for Si3Mo at its PBEsol-relaxed geometry.

Raw total energy, eV per atom: -15.97
Formation energy (no corrections), eV/atom: 0.2634

Structure (POSCAR):
```
Si3Mo
1.0
3.0017 0.0000 0.0000
1.5008 2.5995 0.0000
1.5008 0.8665 7.3827
Mo Si
1 3
direct
0.0000 0.0000 0.0000
0.2496 0.2496 0.2512
0.7504 0.7504 0.7488
0.5000 0.5000 0.5000
```



Density functional theory data (meta-GGA SCAN) for SiMo3 at its PBEsol-relaxed geometry.

Raw total energy, eV per atom: -28.49
Formation energy (no corrections), eV/atom: 0.1778

Structure (POSCAR):
```
SiMo3
1.0
-1.4915 2.4678 -0.4052
-1.1315 -2.5425 -0.8570
-3.4712 -0.9048 7.2673
Si Mo
1 3
direct
0.3333 0.6667 0.5000
0.3333 0.6667 0.0000
0.0000 0.0000 0.7380
0.0000 0.0000 0.2620
```



Density functional theory data (meta-GGA SCAN) for Si3Mo at its PBEsol-relaxed geometry.

Raw total energy, eV per atom: -16.12
Formation energy (no corrections), eV/atom: 0.1115

Structure (POSCAR):
```
Si3Mo
1.0
-2.2787 -1.9624 1.1934
-0.2423 -2.0217 -3.7874
4.0040 -0.4935 2.4483
Si Mo
3 1
direct
0.2353 0.7353 0.4706
0.5000 0.5000 0.0000
0.7647 0.2647 0.5294
0.0000 0.0000 0.0000
```



Density functional theory data (meta-GGA SCAN) for SiSn3Mo at its PBEsol-relaxed geometry.

Raw total energy, eV per atom: -29.32
Formation energy (no corrections), eV/atom: 1.2157

Structure (POSCAR):
```
SiSn3Mo
1.0
-3.0435 -2.8241 -2.9032
3.6699 -3.4592 -0.4823
-1.7134 -2.3928 4.1238
Sn Si Mo
3 1 1
direct
0.0000 0.5000 0.0000
0.0000 0.0000 0.5000
0.5000 0.0000 0.0000
0.0000 0.0000 0.0000
0.5000 0.5000 0.5000
```



Density functional theory data (meta-GGA SCAN) for SrSi2Mo at its PBEsol-relaxed geometry.

Raw total energy, eV per atom: -18.70
Formation energy (no corrections), eV/atom: 0.5960

Structure (POSCAR):
```
SrSi2Mo
1.0
2.8470 0.0410 0.0506
-0.6579 5.0810 -0.1635
-0.6579 -1.2132 4.9368
Sr Si Mo
1 2 1
direct
0.5000 0.0000 0.0000
0.0000 0.5000 0.0000
0.0000 0.0000 0.5000
0.5000 0.5000 0.5000
```



Density functional theory data (meta-GGA SCAN) for Sr2SiMo at its PBEsol-relaxed geometry.

Raw total energy, eV per atom: -21.84
Formation energy (no corrections), eV/atom: 0.5243

Structure (POSCAR):
```
Sr2SiMo
1.0
4.7387 0.0000 0.0000
2.3693 7.9295 0.0000
2.3693 0.0000 7.9295
Sr Mo Si
4 2 2
direct
0.4612 0.1638 0.6638
0.3750 0.3362 0.1638
0.8750 0.6638 0.8362
0.2888 0.8362 0.3362
0.0000 0.0000 0.0000
0.7500 0.5000 0.5000
0.5000 0.0000 0.0000
0.2500 0.5000 0.5000
```



Density functional theory data (meta-GGA SCAN) for SrSi3Mo at its PBEsol-relaxed geometry.

Raw total energy, eV per atom: -17.41
Formation energy (no corrections), eV/atom: 0.0345

Structure (POSCAR):
```
SrSi3Mo
1.0
4.7387 0.0000 0.0000
0.0000 4.7387 0.0000
0.0000 0.0000 4.7387
Si Mo Sr
3 1 1
direct
0.5000 0.0000 0.0000
0.0000 0.0000 0.5000
0.0000 0.5000 0.0000
0.0000 0.0000 0.0000
0.5000 0.5000 0.5000
```



Density functional theory data (meta-GGA SCAN) for Sr2SiMo at its PBEsol-relaxed geometry.

Raw total energy, eV per atom: -21.67
Formation energy (no corrections), eV/atom: 0.6914

Structure (POSCAR):
```
Sr2SiMo
1.0
-3.6312 1.5401 -0.7057
-0.5199 -2.6017 -3.0028
-2.5171 -4.1052 3.9928
Sr Si Mo
2 1 1
direct
0.0000 0.0000 0.2585
0.0000 0.0000 0.7415
0.5000 0.5000 0.5000
0.5000 0.5000 0.0000
```



Density functional theory data (meta-GGA SCAN) for SrSi2Mo at its PBEsol-relaxed geometry.

Raw total energy, eV per atom: -18.56
Formation energy (no corrections), eV/atom: 0.7352

Structure (POSCAR):
```
SrSi2Mo
1.0
4.0254 0.0000 0.0000
0.0000 4.0254 0.0000
-2.0127 -2.0127 4.5801
Si Mo Sr
2 1 1
direct
0.7500 0.2500 0.5000
0.0000 0.0000 0.0000
0.2500 0.7500 0.5000
0.5000 0.5000 0.0000
```



Density functional theory data (meta-GGA SCAN) for Sr2SiMo at its PBEsol-relaxed geometry.

Raw total energy, eV per atom: -21.36
Formation energy (no corrections), eV/atom: 0.9999

Structure (POSCAR):
```
Sr2SiMo
1.0
3.3102 0.0000 0.0000
1.6551 2.8667 0.0000
1.6551 0.9556 10.2884
Si Sr Mo
1 2 1
direct
0.0000 0.0000 0.0000
0.7484 0.7484 0.7548
0.2516 0.2516 0.2452
0.5000 0.5000 0.5000
```



Density functional theory data (meta-GGA SCAN) for SrSi2Mo at its PBEsol-relaxed geometry.

Raw total energy, eV per atom: -18.88
Formation energy (no corrections), eV/atom: 0.4203

Structure (POSCAR):
```
SrSi2Mo
1.0
-0.1653 3.5451 -0.6513
-2.0657 2.4927 4.0971
3.2101 2.5762 3.2132
Si Sr Mo
2 1 1
direct
0.2131 0.7869 0.7869
0.7869 0.2131 0.2131
0.0000 0.5000 0.5000
0.5000 0.0000 0.0000
```



Density functional theory data (meta-GGA SCAN) for SrSi2Mo at its PBEsol-relaxed geometry.

Raw total energy, eV per atom: -18.54
Formation energy (no corrections), eV/atom: 0.7604

Structure (POSCAR):
```
SrSi2Mo
1.0
3.7298 0.0000 0.0000
0.0000 4.4493 0.0000
0.0000 0.0000 4.4493
Si Mo Sr
2 1 1
direct
0.0000 0.5000 0.0000
0.0000 0.0000 0.5000
0.5000 0.0000 0.0000
0.5000 0.5000 0.5000
```



Density functional theory data (meta-GGA SCAN) for Ta2Si2Mo at its PBEsol-relaxed geometry.

Raw total energy, eV per atom: -38.07
Formation energy (no corrections), eV/atom: -0.4550

Structure (POSCAR):
```
Ta2Si2Mo
1.0
-1.9547 -1.6549 -2.4160
-4.0265 -2.0941 4.6920
-3.6423 5.3678 -0.7300
Si Mo Ta
4 2 4
direct
0.0000 0.1308 0.3692
0.0000 0.3692 0.8692
0.0000 0.8692 0.6308
0.0000 0.6308 0.1308
0.0000 0.5000 0.5000
0.0000 0.0000 0.0000
0.5000 0.3315 0.1685
0.5000 0.1685 0.6685
0.5000 0.6685 0.8315
0.5000 0.8315 0.3315
```



Density functional theory data (meta-GGA SCAN) for TaSiMo at its PBEsol-relaxed geometry.

Raw total energy, eV per atom: -36.91
Formation energy (no corrections), eV/atom: 0.2519

Structure (POSCAR):
```
TaSiMo
1.0
-0.7264 -1.9854 3.5828
3.1496 -1.7335 2.0932
1.2734 1.6624 3.5946
Ta Mo Si
1 1 1
direct
0.0000 0.0000 0.0000
0.5000 0.5000 0.5000
0.7500 0.7500 0.7500
```



Density functional theory data (meta-GGA SCAN) for TaSi3Mo at its PBEsol-relaxed geometry.

Raw total energy, eV per atom: -25.00
Formation energy (no corrections), eV/atom: 1.3013

Structure (POSCAR):
```
TaSi3Mo
1.0
-4.4859 -1.5358 -0.1604
1.5215 -4.4802 0.3471
-0.2638 0.2767 4.7288
Si Mo Ta
3 1 1
direct
0.0000 0.0000 0.5000
0.0000 0.5000 0.0000
0.5000 0.0000 0.0000
0.5000 0.5000 0.5000
0.0000 0.0000 0.0000
```



Density functional theory data (meta-GGA SCAN) for TaSiMo2 at its PBEsol-relaxed geometry.

Raw total energy, eV per atom: -36.78
Formation energy (no corrections), eV/atom: -0.1909

Structure (POSCAR):
```
TaSiMo2
1.0
3.2694 0.0000 0.0000
0.0000 3.2694 0.0000
0.0000 0.0000 5.6995
Mo Ta Si
2 1 1
direct
0.0000 0.0000 0.7707
0.0000 0.0000 0.2293
0.5000 0.5000 0.5000
0.5000 0.5000 0.0000
```



Density functional theory data (meta-GGA SCAN) for TaSiMo2 at its PBEsol-relaxed geometry.

Raw total energy, eV per atom: -36.74
Formation energy (no corrections), eV/atom: -0.1432

Structure (POSCAR):
```
TaSiMo2
1.0
3.2230 0.0000 0.0000
0.0000 4.3727 0.0000
-1.6115 -2.1864 4.3008
Mo Si Ta
2 1 1
direct
0.7522 0.7522 0.5043
0.2478 0.2478 0.4957
0.0000 0.5000 0.0000
0.5000 0.0000 0.0000
```



Density functional theory data (meta-GGA SCAN) for TaSiMo2 at its PBEsol-relaxed geometry.

Raw total energy, eV per atom: -36.70
Formation energy (no corrections), eV/atom: -0.1053

Structure (POSCAR):
```
TaSiMo2
1.0
2.7778 0.0040 0.0000
-0.8732 2.6370 0.0000
0.0000 0.0000 8.3388
Mo Ta Si
2 1 1
direct
0.0000 0.0000 0.9943
0.5000 0.5000 0.7375
0.5000 0.5000 0.2627
0.0000 0.0000 0.5056
```



Density functional theory data (meta-GGA SCAN) for SiTcMo2 at its PBEsol-relaxed geometry.

Raw total energy, eV per atom: -28.69
Formation energy (no corrections), eV/atom: 0.0240

Structure (POSCAR):
```
SiTcMo2
1.0
-1.6703 -0.3525 2.2709
0.0188 -4.6593 -0.7095
3.4513 1.5937 2.7859
Si Mo Tc
1 2 1
direct
0.5000 0.0000 0.0000
0.0000 0.5000 0.0000
0.0000 0.0000 0.5000
0.5000 0.5000 0.5000
```



Density functional theory data (meta-GGA SCAN) for SiTcMo2 at its PBEsol-relaxed geometry.

Raw total energy, eV per atom: -28.99
Formation energy (no corrections), eV/atom: -0.2767

Structure (POSCAR):
```
SiTcMo2
1.0
-1.3174 -2.2864 -1.6464
3.7258 -1.2128 -1.2972
-0.8756 -0.9096 4.9017
Tc Si Mo
1 1 2
direct
0.0000 0.5000 0.0000
0.5000 0.0000 0.0000
0.2494 0.2494 0.4987
0.7506 0.7506 0.5013
```



Density functional theory data (meta-GGA SCAN) for SiTc3Mo at its PBEsol-relaxed geometry.

Raw total energy, eV per atom: -28.10
Formation energy (no corrections), eV/atom: 1.9170

Structure (POSCAR):
```
SiTc3Mo
1.0
4.5653 0.0000 0.0000
0.0000 4.5653 0.0000
0.0000 0.0000 4.5653
Tc Mo Si
3 1 1
direct
0.0000 0.0000 0.5000
0.5000 0.0000 0.0000
0.0000 0.5000 0.0000
0.0000 0.0000 0.0000
0.5000 0.5000 0.5000
```



Density functional theory data (meta-GGA SCAN) for SiTcMo2 at its PBEsol-relaxed geometry.

Raw total energy, eV per atom: -28.66
Formation energy (no corrections), eV/atom: 0.0477

Structure (POSCAR):
```
SiTcMo2
1.0
2.7030 -0.0120 0.0000
-0.8329 2.5714 0.0000
0.0000 0.0000 8.2515
Mo Tc Si
2 1 1
direct
0.0000 0.0000 0.2602
0.0000 0.0000 0.7398
0.5000 0.5000 0.0000
0.5000 0.5000 0.5000
```



Density functional theory data (meta-GGA SCAN) for Si2TeMo at its PBEsol-relaxed geometry.

Raw total energy, eV per atom: -22.52
Formation energy (no corrections), eV/atom: 0.5245

Structure (POSCAR):
```
Si2TeMo
1.0
3.4656 0.0000 -0.0113
0.0000 4.5251 0.0000
-0.4981 0.0000 4.6028
Te Si Mo
1 2 1
direct
0.5000 0.5000 0.0000
0.9336 0.0000 0.7423
0.0664 0.0000 0.2577
0.0000 0.5000 0.5000
```



Density functional theory data (meta-GGA SCAN) for Si2TeMo at its PBEsol-relaxed geometry.

Raw total energy, eV per atom: -22.51
Formation energy (no corrections), eV/atom: 0.5326

Structure (POSCAR):
```
Si2TeMo
1.0
-1.5862 -3.0065 0.5631
0.7983 0.4454 4.6270
-3.1414 3.2249 -2.1722
Mo Si Te
1 2 1
direct
0.2692 0.7692 0.5385
0.0241 0.0241 0.0482
0.7287 0.2287 0.4574
0.4780 0.4780 0.9560
```



Density functional theory data (meta-GGA SCAN) for Si2TeMo at its PBEsol-relaxed geometry.

Raw total energy, eV per atom: -22.82
Formation energy (no corrections), eV/atom: 0.2208

Structure (POSCAR):
```
Si2TeMo
1.0
-2.4513 1.2084 1.5963
1.4236 -0.7223 2.7329
3.2278 6.4996 0.0365
Mo Si Te
1 2 1
direct
0.5000 0.5000 0.7993
0.5000 0.5000 0.1594
0.0000 0.0000 0.9827
0.0000 0.0000 0.5586
```